# CuHgAu2 (PBE, optimized geometry)
data_CuHgAu2
_chemical_formula_sum 'Cu1 Hg1 Au2'
_space_group_name_H-M_alt 'P 1'
_space_group_IT_number 1
_cell_length_a 4.1031
_cell_length_b 4.0973
_cell_length_c 4.2081
_cell_angle_alpha 90.00
_cell_angle_beta 90.00
_cell_angle_gamma 90.00
loop_
_space_group_symop_operation_xyz
'x,y,z'
loop_
_atom_site_label
_atom_site_fract_x
_atom_site_fract_y
_atom_site_fract_z
Au1 0.0000 0.0000 0.0000
Au2 0.5000 0.5000 0.0000
Hg1 0.0000 0.5000 0.5000
Cu1 0.5000 0.0000 0.5000
# * formation energy: 0.300 eV per formula unit
# * calculated total energy: -10.65 eV for the cell shown
# * space group: No. 123